Material: BaSr4Li2
Method: DFT, PBE
State: optimized geometry

a = 5.804 Å, b = 5.750 Å, c = 10.553 Å
α = 105.81°, β = 90.00°, γ = 90.00°
Positions (direct):
Sr  0.000  0.328  0.656
Sr  0.000  0.672  0.344
Sr  0.500  0.174  0.348
Sr  0.500  0.826  0.652
Ba  0.000  0.000  0.000
Li  0.500  0.568  0.136
Li  0.500  0.432  0.864

SG	Cmmm
formation enthalpy at 0 K	69	meV/atom
magnetic moment	0.00	μB/cell

Material: BaSrLi6
Method: DFT, PBE
State: optimized geometry

a = 5.338 Å, b = 7.386 Å, c = 7.386 Å
α = 119.11°, β = 90.00°, γ = 90.00°
Positions (direct):
Li  0.500  0.485  0.121
Li  0.500  0.886  0.114
Li  0.000  0.620  0.380
Li  0.000  0.626  0.995
Li  0.000  0.005  0.374
Li  0.500  0.879  0.515
Ba  0.500  0.413  0.587
Sr  0.000  0.086  0.914

SG	Amm2
formation enthalpy at 0 K	60	meV/atom
magnetic moment	0.00	μB/cell

Material: Ba6Sr2Li
Method: DFT, PBE
State: optimized geometry

a = 4.363 Å, b = 4.363 Å, c = 31.594 Å
α = 90.00°, β = 90.00°, γ = 120.00°
Positions (direct):
Ba  0.333  0.667  0.436
Ba  0.667  0.333  0.911
Ba  0.333  0.667  0.793
Ba  0.333  0.667  0.207
Ba  0.333  0.667  0.564
Ba  0.667  0.333  0.089
Li  0.333  0.667  0.000
Sr  0.667  0.333  0.321
Sr  0.667  0.333  0.679

SG	P-6m2
formation enthalpy at 0 K	71	meV/atom
energy relative to the lowest polymorph listed for this composition	0	meV/atom
magnetic moment	0.00	μB/cell

Material: Ba2Sr5Li4
Method: DFT, PBE
State: optimized geometry

a = 7.762 Å, b = 8.934 Å, c = 8.976 Å
α = 75.86°, β = 64.38°, γ = 64.25°
Positions (direct):
Li  0.248  0.404  0.101
Li  0.247  0.097  0.409
Li  0.752  0.596  0.899
Li  0.753  0.903  0.591
Sr  0.752  0.182  0.818
Sr  0.249  0.182  0.818
Sr  0.000  0.500  0.500
Sr  0.751  0.818  0.182
Sr  0.248  0.818  0.182
Ba  0.701  0.300  0.298
Ba  0.299  0.700  0.702

SG	C2/m
formation enthalpy at 0 K	90	meV/atom
magnetic moment	0.00	μB/cell

Material: Ba3Sr3Li
Method: DFT, PBE
State: optimized geometry

a = 7.561 Å, b = 7.561 Å, c = 14.202 Å
α = 94.29°, β = 94.29°, γ = 104.85°
Positions (direct):
Sr  0.428  0.069  0.265
Sr  0.131  0.131  0.817
Sr  0.572  0.931  0.735
Sr  0.931  0.572  0.735
Sr  0.869  0.869  0.183
Sr  0.069  0.428  0.265
Ba  0.387  0.387  0.610
Ba  0.174  0.826  0.500
Ba  0.700  0.300  0.000
Ba  0.613  0.613  0.390
Ba  0.300  0.700  0.000
Ba  0.826  0.174  0.500
Li  0.177  0.177  0.060
Li  0.823  0.823  0.940

SG	C2/m
formation enthalpy at 0 K	76	meV/atom
magnetic moment	0.00	μB/cell

Material: Ba3SrLi
Method: DFT, PBE
State: optimized geometry

a = 7.167 Å, b = 7.167 Å, c = 7.167 Å
α = 90.00°, β = 90.00°, γ = 90.00°
Site moments in Bohr magnetons follow the coordinates.
Positions (direct):
Ba  0.000  0.000  0.500  0.30
Ba  0.000  0.500  0.000  0.24
Ba  0.500  0.000  0.000  0.17
Sr  0.000  0.000  0.000  0.31
Li  0.500  0.500  0.500  0.00

SG	Pm-3m
formation enthalpy at 0 K	632	meV/atom
energy relative to the lowest polymorph listed for this composition	594	meV/atom
magnetic moment	3.89	μB/cell

Material: Ba2SrLi
Method: DFT, PBE
State: optimized geometry

a = 13.366 Å, b = 13.366 Å, c = 13.366 Å
α = 18.53°, β = 18.53°, γ = 18.53°
Positions (direct):
Li  0.250  0.250  0.250
Sr  0.750  0.750  0.750
Ba  0.509  0.509  0.509
Ba  0.991  0.991  0.991

SG	R-3m
formation enthalpy at 0 K	106	meV/atom
energy relative to the lowest polymorph listed for this composition	82	meV/atom
magnetic moment	0.00	μB/cell

Material: BaSr16Li12
Method: DFT, PBE
State: optimized geometry

a = 11.806 Å, b = 11.806 Å, c = 11.556 Å
α = 109.39°, β = 109.39°, γ = 110.40°
Positions (direct):
Sr  0.995  0.383  0.689
Sr  0.013  0.013  0.001
Sr  0.365  0.365  0.360
Sr  0.678  0.997  0.389
Sr  0.600  0.280  0.605
Sr  0.316  0.707  0.318
Sr  0.347  0.347  0.754
Sr  0.669  0.994  0.001
Sr  0.003  0.003  0.641
Sr  0.707  0.316  0.318
Sr  0.711  0.364  0.997
Sr  0.280  0.600  0.605
Sr  0.364  0.711  0.997
Sr  0.383  0.995  0.689
Sr  0.997  0.678  0.389
Sr  0.994  0.669  0.001
Li  0.355  0.171  0.000
Li  0.014  0.351  0.193
Li  0.014  0.183  0.369
Li  0.183  0.014  0.369
Li  0.808  0.642  0.635
Li  0.642  0.808  0.635
Li  0.652  0.652  0.831
Li  0.810  0.146  0.800
Li  0.842  0.842  0.184
Li  0.171  0.355  0.000
Li  0.146  0.810  0.800
Li  0.351  0.014  0.193
Ba  0.592  0.592  0.234

SG	Cm
formation enthalpy at 0 K	71	meV/atom
magnetic moment	0.00	μB/cell

Material: Ba2Sr2Li
Method: DFT, PBE
State: optimized geometry

a = 5.141 Å, b = 5.141 Å, c = 11.459 Å
α = 77.04°, β = 77.04°, γ = 90.00°
Positions (direct):
Ba  0.750  0.250  0.500
Ba  0.250  0.750  0.500
Sr  0.591  0.591  0.818
Sr  0.409  0.409  0.182
Li  0.000  0.000  0.000

SG	I4/mmm
formation enthalpy at 0 K	342	meV/atom
energy relative to the lowest polymorph listed for this composition	323	meV/atom
magnetic moment	0.00	μB/cell

Material: BaSrLi2
Method: DFT, PBE
State: optimized geometry

a = 6.107 Å, b = 6.107 Å, c = 6.107 Å
α = 60.00°, β = 60.00°, γ = 60.00°
Positions (direct):
Li  0.250  0.250  0.250
Li  0.750  0.750  0.750
Sr  0.000  0.000  0.000
Ba  0.500  0.500  0.500

SG	Fm-3m
formation enthalpy at 0 K	32	meV/atom
energy relative to the lowest polymorph listed for this composition	0	meV/atom
magnetic moment	0.00	μB/cell

Material: Ba4Sr5Li2
Method: DFT, PBE
State: optimized geometry

a = 4.445 Å, b = 10.490 Å, c = 12.692 Å
α = 94.43°, β = 90.00°, γ = 90.00°
Positions (direct):
Li  0.000  0.064  0.632
Li  0.000  0.936  0.368
Ba  0.500  0.790  0.555
Ba  0.500  0.187  0.847
Ba  0.500  0.210  0.445
Ba  0.500  0.813  0.153
Sr  0.000  0.162  0.144
Sr  0.000  0.465  0.671
Sr  0.000  0.535  0.329
Sr  0.000  0.500  0.000
Sr  0.000  0.838  0.856

SG	P2/m
formation enthalpy at 0 K	57	meV/atom
magnetic moment	0.00	μB/cell

Material: Ba2Sr2Li
Method: DFT, PBE
State: optimized geometry

a = 4.369 Å, b = 4.369 Å, c = 13.923 Å
α = 99.03°, β = 99.03°, γ = 90.00°
Positions (direct):
Sr  0.195  0.195  0.391
Sr  0.805  0.805  0.609
Li  0.000  0.000  0.000
Ba  0.421  0.421  0.842
Ba  0.579  0.579  0.158

SG	I4/mmm
formation enthalpy at 0 K	19	meV/atom
energy relative to the lowest polymorph listed for this composition	0	meV/atom
magnetic moment	0.00	μB/cell

Material: Ba2Sr5Li
Method: DFT, PBE
State: optimized geometry

a = 6.281 Å, b = 8.751 Å, c = 8.751 Å
α = 90.00°, β = 90.00°, γ = 90.00°
Positions (direct):
Ba  0.500  0.000  0.500
Ba  0.500  0.500  0.000
Sr  0.500  0.000  0.000
Sr  0.000  0.739  0.261
Sr  0.000  0.261  0.739
Sr  0.000  0.261  0.261
Sr  0.000  0.739  0.739
Li  0.000  0.000  0.000

SG	P4/mmm
formation enthalpy at 0 K	205	meV/atom
energy relative to the lowest polymorph listed for this composition	180	meV/atom
magnetic moment	0.00	μB/cell

Material: BaSr2Li3
Method: DFT, PBE
State: optimized geometry

a = 4.319 Å, b = 4.319 Å, c = 12.683 Å
α = 90.00°, β = 90.00°, γ = 90.00°
Positions (direct):
Li  0.000  0.000  0.000
Li  0.000  0.000  0.680
Li  0.000  0.000  0.320
Ba  0.500  0.500  0.500
Sr  0.500  0.500  0.836
Sr  0.500  0.500  0.164

SG	P4/mmm
formation enthalpy at 0 K	33	meV/atom
magnetic moment	0.00	μB/cell

Material: BaSrLi17
Method: DFT, PBE
State: optimized geometry

a = 7.844 Å, b = 7.844 Å, c = 7.844 Å
α = 82.66°, β = 82.66°, γ = 82.66°
Positions (direct):
Li  0.145  0.656  0.656
Li  0.340  0.859  0.340
Li  0.285  0.713  0.003
Li  0.656  0.656  0.145
Li  0.859  0.340  0.340
Li  0.713  0.003  0.285
Li  0.340  0.340  0.859
Li  0.002  0.002  0.497
Li  0.713  0.285  0.003
Li  0.497  0.002  0.002
Li  0.656  0.145  0.656
Li  0.285  0.003  0.713
Li  0.096  0.096  0.096
Li  0.003  0.285  0.713
Li  0.003  0.713  0.285
Li  0.002  0.497  0.002
Li  0.908  0.908  0.908
Sr  0.343  0.343  0.343
Ba  0.655  0.655  0.655

SG	R3m
formation enthalpy at 0 K	19	meV/atom
magnetic moment	0.00	μB/cell

Material: Ba2SrLi
Method: DFT, PBE
State: optimized geometry

a = 7.361 Å, b = 7.361 Å, c = 7.361 Å
α = 132.69°, β = 132.69°, γ = 69.14°
Positions (direct):
Ba  0.000  0.000  0.000
Ba  0.500  0.500  0.000
Li  0.250  0.750  0.500
Sr  0.750  0.250  0.500

SG	I4/mmm
formation enthalpy at 0 K	105	meV/atom
energy relative to the lowest polymorph listed for this composition	80	meV/atom
magnetic moment	0.00	μB/cell

Material: Ba5SrLi4
Method: DFT, PBE
State: optimized geometry

a = 4.401 Å, b = 4.401 Å, c = 24.000 Å
α = 90.00°, β = 90.00°, γ = 90.00°
Positions (direct):
Li  0.000  0.000  0.222
Li  0.000  0.000  0.407
Li  0.000  0.000  0.778
Li  0.000  0.000  0.593
Ba  0.500  0.500  0.314
Ba  0.500  0.500  0.132
Ba  0.500  0.500  0.868
Ba  0.500  0.500  0.686
Ba  0.500  0.500  0.500
Sr  0.000  0.000  0.000

SG	P4/mmm
formation enthalpy at 0 K	39	meV/atom
magnetic moment	0.00	μB/cell

Material: Ba3SrLi
Method: DFT, PBE
State: optimized geometry

a = 4.446 Å, b = 10.496 Å, c = 12.048 Å
α = 102.62°, β = 100.64°, γ = 90.01°
Positions (direct):
Ba  0.417  0.814  0.092
Ba  0.235  0.732  0.726
Ba  0.413  0.411  0.083
Ba  0.596  0.492  0.449
Ba  0.614  0.929  0.485
Ba  0.216  0.296  0.691
Li  0.816  0.553  0.888
Li  0.016  0.672  0.288
Sr  0.009  0.157  0.277
Sr  0.821  0.068  0.899

SG	Cm
formation enthalpy at 0 K	39	meV/atom
energy relative to the lowest polymorph listed for this composition	0	meV/atom
magnetic moment	0.00	μB/cell

Material: Ba6Sr2Li
Method: DFT, PBE
State: optimized geometry

a = 7.188 Å, b = 11.829 Å, c = 9.250 Å
α = 129.75°, β = 112.90°, γ = 90.00°
Positions (direct):
Ba  0.837  0.153  0.674
Ba  0.837  0.520  0.674
Ba  0.163  0.480  0.326
Ba  0.163  0.847  0.326
Ba  0.500  0.171  0.000
Ba  0.500  0.829  0.000
Li  0.000  0.000  0.000
Sr  0.324  0.323  0.647
Sr  0.676  0.677  0.353

SG	Immm
formation enthalpy at 0 K	111	meV/atom
energy relative to the lowest polymorph listed for this composition	40	meV/atom
magnetic moment	0.00	μB/cell

Material: Ba2SrLi
Method: DFT, PBE
State: optimized geometry

a = 6.161 Å, b = 6.161 Å, c = 11.585 Å
α = 105.40°, β = 105.40°, γ = 90.00°
Positions (direct):
Li  0.751  0.249  0.000
Li  0.249  0.751  0.000
Ba  0.151  0.151  0.801
Ba  0.500  0.000  0.500
Ba  0.000  0.500  0.500
Ba  0.849  0.849  0.199
Sr  0.347  0.347  0.193
Sr  0.653  0.653  0.807

SG	C2/m
formation enthalpy at 0 K	27	meV/atom
energy relative to the lowest polymorph listed for this composition	2	meV/atom
magnetic moment	0.00	μB/cell